# 1
# Ti2GaHF (PBE, relaxed)
data_Ti2GaHF
_chemical_formula_sum 'Ti2 Ga1 H1 F1'
_symmetry_space_group_name_H-M 'P 4/m m m'
_symmetry_Int_Tables_number 123
_symmetry_space_group_name_Hall '-P 4 2'
_cell_length_a 4.101
_cell_length_b 4.101
_cell_length_c 4.568
_cell_angle_alpha 90.00
_cell_angle_beta 90.00
_cell_angle_gamma 90.00
loop_
_atom_site_label
_atom_site_fract_x
_atom_site_fract_y
_atom_site_fract_z
Ti1 0.000 0.500 0.000
Ga1 0.000 0.000 0.500
H1 0.500 0.500 0.500
F1 0.000 0.000 0.000
# Density of states at the Fermi level ... 1.012 states/eV/atom
# VASP energy ... -4.614 eV/atom

# 2
# NaIrC (PBE, relaxed)
data_NaIrC
_chemical_formula_sum 'Na4 Ir4 C4'
_symmetry_space_group_name_H-M 'C 1 2/m 1'
_symmetry_Int_Tables_number 12
_cell_length_a 9.797
_cell_length_b 3.780
_cell_length_c 5.232
_cell_angle_alpha 90.00
_cell_angle_beta 100.40
_cell_angle_gamma 90.00
loop_
_symmetry_equiv_pos_as_xyz
'x,y,z'
'-x,-y,-z'
'-x,y,-z'
'x,-y,z'
'x+1/2,y+1/2,z'
'-x+1/2,-y+1/2,-z'
'-x+1/2,y+1/2,-z'
'x+1/2,-y+1/2,z'
loop_
_atom_site_label
_atom_site_fract_x
_atom_site_fract_y
_atom_site_fract_z
Na1 0.118 0.000 0.373
Ir1 0.119 0.500 0.911
C1 0.175 0.000 0.893
# Calculated formation energy ... 0.538 eV/atom
# Density of states at the Fermi level ... 0.231 states/eV/atom
# VASP energy ... -5.930 eV/atom

# 3
# La2ZnInFe (PBE, relaxed)
data_La2ZnInFe
_chemical_formula_sum 'La2 Zn1 In1 Fe1'
_symmetry_space_group_name_H-M 'P 4/m m m'
_symmetry_Int_Tables_number 123
_symmetry_space_group_name_Hall '-P 4 2'
_cell_length_a 5.117
_cell_length_b 5.117
_cell_length_c 4.887
_cell_angle_alpha 90.00
_cell_angle_beta 90.00
_cell_angle_gamma 90.00
loop_
_atom_site_label
_atom_site_fract_x
_atom_site_fract_y
_atom_site_fract_z
La1 0.000 0.500 0.000
Zn1 0.000 0.000 0.500
In1 0.500 0.500 0.500
Fe1 0.000 0.000 0.000
# Calculated formation energy ... -0.135 eV/atom
# Density of states at the Fermi level ... 0.994 states/eV/atom
# VASP energy ... -4.601 eV/atom

# 4
# ScPbBr2 (PBE, relaxed)
data_ScPbBr2
_chemical_formula_sum 'Sc1 Pb1 Br2'
_symmetry_space_group_name_H-M 'P 4/m m m'
_symmetry_Int_Tables_number 123
_symmetry_space_group_name_Hall '-P 4 2'
_cell_length_a 4.771
_cell_length_b 4.771
_cell_length_c 4.687
_cell_angle_alpha 90.00
_cell_angle_beta 90.00
_cell_angle_gamma 90.00
loop_
_atom_site_label
_atom_site_fract_x
_atom_site_fract_y
_atom_site_fract_z
Sc1 0.000 0.000 0.000
Pb1 0.500 0.500 0.000
Br1 0.000 0.500 0.500
# Density of states at the Fermi level ... 0.616 states/eV/atom
# Formation energy without anion corrections ... -385 meV per atom
# VASP energy ... -3.732 eV/atom

# 5
# Ca4CuH (PBE, relaxed)
data_Ca4CuH
_chemical_formula_sum 'Ca16 Cu4 H4'
_symmetry_space_group_name_H-M 'I 41/a m d'
_symmetry_Int_Tables_number 141
_cell_length_a 9.220
_cell_length_b 9.220
_cell_length_c 8.322
_cell_angle_alpha 90.00
_cell_angle_beta 90.00
_cell_angle_gamma 90.00
loop_
_symmetry_equiv_pos_as_xyz
'x,y,z'
'-x,-y,-z'
'-y+1/4,x+3/4,z+1/4'
'y+1/4,-x+3/4,-z+1/4'
'-x+1/2,-y,z+1/2'
'x+1/2,y,-z+1/2'
'y+1/4,-x+1/4,z+3/4'
'-y+1/4,x+1/4,-z+3/4'
'x,-y,-z'
'-x,y,z'
'-y+1/4,-x+1/4,-z+3/4'
'y+1/4,x+1/4,z+3/4'
'-x+1/2,y,-z+1/2'
'x+1/2,-y,z+1/2'
'y+1/4,x+3/4,-z+1/4'
'-y+1/4,-x+3/4,z+1/4'
'x+1/2,y+1/2,z+1/2'
'-x+1/2,-y+1/2,-z+1/2'
'-y+3/4,x+1/4,z+3/4'
'y+3/4,-x+1/4,-z+3/4'
'-x,-y+1/2,z'
'x,y+1/2,-z'
'y+3/4,-x+3/4,z+1/4'
'-y+3/4,x+3/4,-z+1/4'
'x+1/2,-y+1/2,-z+1/2'
'-x+1/2,y+1/2,z+1/2'
'-y+3/4,-x+3/4,-z+1/4'
'y+3/4,x+3/4,z+1/4'
'-x,y+1/2,-z'
'x,-y+1/2,z'
'y+3/4,x+1/4,-z+3/4'
'-y+3/4,-x+1/4,z+3/4'
loop_
_atom_site_label
_atom_site_fract_x
_atom_site_fract_y
_atom_site_fract_z
Ca1 0.000 0.056 0.208
Cu1 0.000 0.250 0.875
H1 0.000 0.250 0.375
# Density of states at the Fermi level ... 0.579 states/eV/atom
# VASP energy ... -2.740 eV/atom

# 6
# Sr3Ga2Pt (PBE, relaxed)
data_Sr3Ga2Pt
_chemical_formula_sum 'Sr12 Ga8 Pt4'
_symmetry_space_group_name_H-M 'P n m a'
_symmetry_Int_Tables_number 62
_cell_length_a 12.694
_cell_length_b 4.518
_cell_length_c 12.967
_cell_angle_alpha 90.00
_cell_angle_beta 90.00
_cell_angle_gamma 90.00
loop_
_symmetry_equiv_pos_as_xyz
'x,y,z'
'-x,-y,-z'
'-x+1/2,-y,z+1/2'
'x+1/2,y,-z+1/2'
'x+1/2,-y+1/2,-z+1/2'
'-x+1/2,y+1/2,z+1/2'
'-x,y+1/2,-z'
'x,-y+1/2,z'
loop_
_atom_site_label
_atom_site_fract_x
_atom_site_fract_y
_atom_site_fract_z
Sr1 0.063 0.250 0.121
Sr2 0.112 0.750 0.553
Sr3 0.208 0.250 0.799
Ga1 0.039 0.750 0.310
Ga2 0.210 0.750 0.986
Pt1 0.123 0.250 0.365
# Calculated formation energy ... -0.571 eV/atom
# Density of states at the Fermi level ... 0.892 states/eV/atom
# VASP energy ... -3.427 eV/atom

# 7
# CaGaF2 (PBE, relaxed)
data_CaGaF2
_chemical_formula_sum 'Ca4 Ga4 F8'
_symmetry_space_group_name_H-M 'F m -3 m'
_symmetry_Int_Tables_number 225
_symmetry_space_group_name_Hall '-F 4 2 3'
_cell_length_a 6.380
_cell_length_b 6.380
_cell_length_c 6.380
_cell_angle_alpha 90.00
_cell_angle_beta 90.00
_cell_angle_gamma 90.00
loop_
_atom_site_label
_atom_site_fract_x
_atom_site_fract_y
_atom_site_fract_z
Ca1 0.000 0.000 0.000
Ga1 0.000 0.000 0.500
F1 0.250 0.250 0.250
# Density of states at the Fermi level ... 0.957 states/eV/atom
# Formation energy without anion corrections ... -1935 meV per atom
# VASP energy ... -4.128 eV/atom

# 8
# Y2PuSn (PBE, relaxed)
data_Y2PuSn
_chemical_formula_sum 'Y2 Pu1 Sn1'
_symmetry_space_group_name_H-M 'P 4/m m m'
_symmetry_Int_Tables_number 123
_symmetry_space_group_name_Hall '-P 4 2'
_cell_length_a 4.896
_cell_length_b 4.896
_cell_length_c 4.622
_cell_angle_alpha 90.00
_cell_angle_beta 90.00
_cell_angle_gamma 90.00
loop_
_atom_site_label
_atom_site_fract_x
_atom_site_fract_y
_atom_site_fract_z
Y1 0.000 0.500 0.000
Pu1 0.000 0.000 0.500
Sn1 0.500 0.500 0.500
# Calculated formation energy ... -0.318 eV/atom
# Density of states at the Fermi level ... 2.873 states/eV/atom
# VASP energy ... -8.134 eV/atom

# 9
# ThGa3Cu (PBE, relaxed)
data_ThGa3Cu
_chemical_formula_sum 'Th2 Ga6 Cu2'
_symmetry_space_group_name_H-M 'I 4 m m'
_symmetry_Int_Tables_number 107
_symmetry_space_group_name_Hall 'I 4 -2'
_cell_length_a 4.301
_cell_length_b 4.301
_cell_length_c 10.216
_cell_angle_alpha 90.00
_cell_angle_beta 90.00
_cell_angle_gamma 90.00
loop_
_atom_site_label
_atom_site_fract_x
_atom_site_fract_y
_atom_site_fract_z
Th1 0.000 0.000 0.000
Ga1 0.000 0.000 0.602
Ga2 0.000 0.500 0.253
Cu1 0.000 0.000 0.370
# Calculated formation energy ... -0.476 eV/atom
# Density of states at the Fermi level ... 0.371 states/eV/atom
# VASP energy ... -4.595 eV/atom

# 10
# Pa3TlCr4N12 (PBE, relaxed)
data_Pa3TlCr4N12
_chemical_formula_sum 'Pa9 Tl3 Cr12 N36'
_symmetry_space_group_name_H-M 'R 3 2'
_symmetry_Int_Tables_number 155
_symmetry_space_group_name_Hall 'R 3 2"'
_cell_length_a 11.3389
_cell_length_b 11.3389
_cell_length_c 8.9272
_cell_angle_alpha 90.00
_cell_angle_beta 90.00
_cell_angle_gamma 120.00
loop_
_atom_site_label
_atom_site_fract_x
_atom_site_fract_y
_atom_site_fract_z
Pa1 0.0000 0.5521 0.0000
Tl1 0.0000 0.0000 0.0000
Cr1 0.0000 0.0000 0.5000
Cr2 0.0000 0.4496 0.5000
N1 0.0000 0.6062 0.5000
N2 0.0000 0.8481 0.5000
N3 0.0330 0.2202 0.1957
# Density of states at the Fermi level ... 0.136 states/eV/atom
# Formation energy without anion corrections ... -428 meV per atom
# VASP energy ... -8.891 eV/atom

# 11
# LiPr2Si2Rh5 (PBE, relaxed)
data_LiPr2Si2Rh5
_chemical_formula_sum 'Li2 Pr4 Si4 Rh10'
_symmetry_space_group_name_H-M 'P 4/m b m'
_symmetry_Int_Tables_number 127
_symmetry_space_group_name_Hall '-P 4 2ab'
_cell_length_a 10.078
_cell_length_b 10.078
_cell_length_c 3.468
_cell_angle_alpha 90.00
_cell_angle_beta 90.00
_cell_angle_gamma 90.00
loop_
_atom_site_label
_atom_site_fract_x
_atom_site_fract_y
_atom_site_fract_z
Li1 0.000 0.000 0.000
Pr1 0.176 0.324 0.000
Si1 0.123 0.623 0.000
Rh1 0.000 0.500 0.500
Rh2 0.068 0.781 0.500
# Density of states at the Fermi level ... 0.527 states/eV/atom
# Formation energy without anion corrections ... -722 meV per atom
# VASP energy ... -6.630 eV/atom

# 12
# LiCaIrPb (PBE, relaxed)
data_LiCaIrPb
_chemical_formula_sum 'Li4 Ca4 Ir4 Pb4'
_symmetry_space_group_name_H-M 'F -4 3 m'
_symmetry_Int_Tables_number 216
_symmetry_space_group_name_Hall 'F -4 2 3'
_cell_length_a 6.847
_cell_length_b 6.847
_cell_length_c 6.847
_cell_angle_alpha 90.00
_cell_angle_beta 90.00
_cell_angle_gamma 90.00
loop_
_atom_site_label
_atom_site_fract_x
_atom_site_fract_y
_atom_site_fract_z
Li1 0.000 0.000 0.000
Ca1 0.250 0.250 0.250
Ir1 0.000 0.000 0.500
Pb1 0.250 0.250 0.750
# Calculated formation energy ... -0.243 eV/atom
# Density of states at the Fermi level ... 0.691 states/eV/atom
# VASP energy ... -4.364 eV/atom

Which value of VASP energy does entry 10 give? -8.891 eV/atom

What is the density of states at the Fermi level in the twelfth record? 0.691 states/eV/atom